First-principles (PBE-GGA) data for a geometry-optimized ZnHg2Ru structure, as listed in Alexandria.

**Volume**: 74.64 Å³/cell
**N(E_F)**: 0.619 states/eV/atom
**Symmetry**: Cmmm, No. 65
**Mass density**: 12.628 g/cm3
**ΔE_f**: 1.9 eV/f.u.

abc: 3.010 3.010 9.587
angles: 90.00 90.00 120.78
Element x y z (fractional)
Zn1 0.500 0.500 0.750
Hg1 0.000 0.000 0.498
Hg2 0.000 0.000 0.002
Ru1 0.500 0.500 0.250